[1]
Density functional theory data (PBE-GGA) for an optimized crystal structure of As2Rh3.

Output
ΔH_f (0 K)   -0.4095 eV per atom
Total magnetization   0.000 μB per atom
Density of states at the Fermi level   4.9 states/eV per cell
DFT total energy   -6.6802 eV/atom

POSCAR file:
```
As2Rh3
1.0
-1.234 3.417 -1.214
-5.444 -1.085 2.477
3.940 3.530 5.932
As Rh
4 6
Direct
0.250 0.766 0.818
0.750 0.234 0.182
0.250 0.729 0.342
0.750 0.271 0.658
0.250 0.355 0.388
0.750 0.645 0.612
0.250 0.024 0.624
0.750 0.976 0.376
0.250 0.954 0.116
0.750 0.046 0.884
```

***

[2]
Density functional theory data (PBE-GGA) for an optimized crystal structure of SrLiBN2.

Output
Total magnetization   0.000 μB per atom
Density of states at the Fermi level   0.0 states/eV per cell
DFT total energy   -6.3274 eV/atom

POSCAR file:
```
SrLiBN2
1.0
3.917 0.000 0.000
0.000 5.456 0.122
0.000 -1.511 6.110
Sr Li B N
2 2 2 4
Direct
0.253 0.500 0.750
0.747 0.500 0.250
0.466 0.000 0.250
0.534 0.000 0.750
0.000 0.000 0.000
0.000 0.000 0.500
0.790 0.798 0.969
0.790 0.202 0.531
0.210 0.798 0.469
0.210 0.202 0.031
```

***

[3]
Density functional theory data (PBE-GGA) for an optimized crystal structure of Tb3BiAs2.

Output
ΔH_f (0 K)   -0.9092 eV per atom
Total magnetization   0.000 μB per atom
Density of states at the Fermi level   5.3 states/eV per cell
DFT total energy   -5.4210 eV/atom

POSCAR file:
```
Tb3BiAs2
1.0
-1.935 3.501 -3.239
-4.665 -2.428 4.253
2.194 7.285 6.565
Tb Bi As
6 2 4
Direct
0.627 0.255 0.046
0.101 0.201 0.750
0.627 0.255 0.454
0.899 0.799 0.250
0.373 0.745 0.954
0.373 0.745 0.546
0.216 0.431 0.250
0.784 0.569 0.750
0.000 0.000 0.000
0.000 0.000 0.500
0.469 0.937 0.250
0.531 0.063 0.750
```

***

[4]
Density functional theory data (PBE-GGA) for an optimized crystal structure of HfIn2W.

Output
Polymorph energy (0 for the lowest one)   235 meV/atom
ΔH_f (0 K)   0.6984 eV per atom
Total magnetization   0.000 μB per atom
Density of states at the Fermi level   2.1 states/eV per cell
DFT total energy   -6.3975 eV/atom

POSCAR file:
```
HfIn2W
1.0
-6.102 4.112 2.416
-4.737 -4.767 -3.849
-5.629 -2.025 1.643
Hf W In
2 2 4
Direct
0.500 0.500 0.000
0.250 0.750 0.500
0.000 0.000 0.000
0.750 0.250 0.500
0.640 0.125 0.250
0.110 0.625 0.250
0.375 0.360 0.750
0.875 0.890 0.750
```

***

[5]
Density functional theory data (PBE-GGA) for an optimized crystal structure of Zr3AlNi.

Output
Polymorph energy (0 for the lowest one)   0 meV/atom
ΔH_f (0 K)   -0.2045 eV per atom
Total magnetization   0.217 μB per atom
Density of states at the Fermi level   19.1 states/eV per cell
DFT total energy   -7.2382 eV/atom

POSCAR file:
```
Zr3AlNi
1.0
6.624 0.000 0.000
0.000 6.624 0.000
0.000 0.000 6.624
Ni Al Zr
3 3 9
Direct
0.500 0.000 0.000
0.000 0.500 0.000
0.000 0.000 0.500
0.000 0.500 0.500
0.500 0.000 0.500
0.500 0.500 0.000
0.500 0.500 0.500
0.237 0.237 0.237
0.763 0.763 0.237
0.763 0.237 0.763
0.237 0.763 0.763
0.237 0.237 0.763
0.763 0.763 0.763
0.237 0.763 0.237
0.763 0.237 0.237
```

***

[6]
Density functional theory data (PBE-GGA) for an optimized crystal structure of GeCS2.

Output
Polymorph energy (0 for the lowest one)   999 meV/atom
Total magnetization   0.000 μB per atom
Density of states at the Fermi level   2.2 states/eV per cell
DFT total energy   -3.8625 eV/atom

POSCAR file:
```
GeCS2
1.0
0.000 3.094 3.094
3.094 0.000 3.094
3.094 3.094 0.000
C Ge S
1 1 2
Direct
0.000 0.000 0.000
0.500 0.500 0.500
0.250 0.250 0.250
0.750 0.750 0.750
```

***

[7]
Density functional theory data (PBE-GGA) for an optimized crystal structure of TcAs2Pt.

Output
Polymorph energy (0 for the lowest one)   156 meV/atom
ΔH_f (0 K)   0.0513 eV per atom
Total magnetization   0.000 μB per atom
Density of states at the Fermi level   4.6 states/eV per cell
DFT total energy   -6.3751 eV/atom

POSCAR file:
```
TcAs2Pt
1.0
10.099 0.030 0.018
9.663 2.935 0.018
9.663 1.450 2.552
As Tc Pt
2 1 1
Direct
0.023 0.023 0.023
0.230 0.230 0.230
0.752 0.752 0.752
0.495 0.495 0.495
```

***

[8]
Density functional theory data (PBE-GGA) for an optimized crystal structure of Be4Rh5.

Output
Polymorph energy (0 for the lowest one)   308 meV/atom
ΔH_f (0 K)   -0.1174 eV per atom
Total magnetization   0.000 μB per atom
Density of states at the Fermi level   8.6 states/eV per cell
DFT total energy   -5.8577 eV/atom

POSCAR file:
```
Be4Rh5
1.0
5.420 1.309 0.340
-4.081 -1.402 3.547
0.576 -4.966 -2.491
Be Rh
4 5
Direct
0.314 0.000 0.314
0.686 0.000 0.686
0.000 0.686 0.686
0.000 0.314 0.314
0.000 0.000 0.000
0.320 0.680 0.000
0.680 0.320 0.000
0.680 0.680 0.360
0.320 0.320 0.640
```

***

[9]
Density functional theory data (PBE-GGA) for an optimized crystal structure of BaPmCu2S4.

Output
Total magnetization   0.000 μB per atom
Density of states at the Fermi level   3.3 states/eV per cell
DFT total energy   -5.0558 eV/atom

POSCAR file:
```
BaPmCu2S4
1.0
-0.496 -5.618 3.581
-2.627 -5.218 -2.318
3.888 -4.863 -0.858
Ba Pm Cu S
1 1 2 4
Direct
0.000 0.000 0.000
0.500 0.500 0.500
0.249 0.251 0.251
0.751 0.749 0.749
0.490 0.064 0.509
0.064 0.936 0.491
0.936 0.509 0.064
0.510 0.491 0.936
```

***

[10]
Density functional theory data (PBE-GGA) for an optimized crystal structure of Ti2BeCo5B2.

Output
ΔH_f (0 K)   -0.5523 eV per atom
Total magnetization   0.000 μB per atom
Density of states at the Fermi level   6.3 states/eV per cell
DFT total energy   -7.3923 eV/atom

POSCAR file:
```
Ti2BeCo5B2
1.0
-2.277 -1.746 -0.211
4.190 -4.812 -5.384
2.915 -4.568 6.351
Ti Be Co B
4 2 10 4
Direct
0.000 0.675 0.175
0.000 0.325 0.825
0.000 0.175 0.325
0.000 0.825 0.675
0.000 0.000 0.000
0.000 0.500 0.500
0.500 0.212 0.069
0.500 0.788 0.931
0.500 0.069 0.788
0.500 0.712 0.431
0.500 0.931 0.212
0.500 0.288 0.569
0.500 0.569 0.712
0.500 0.431 0.288
0.500 0.500 0.000
0.500 0.000 0.500
0.000 0.124 0.624
0.000 0.876 0.376
0.000 0.624 0.876
0.000 0.376 0.124
```

***

[11]
Density functional theory data (PBE-GGA) for an optimized crystal structure of LiFeSe2.

Output
Total magnetization   0.665 μB per atom
Density of states at the Fermi level   2.9 states/eV per cell
DFT total energy   -4.5036 eV/atom

POSCAR file:
```
LiFeSe2
1.0
-2.244 -2.053 0.329
1.536 -0.997 4.255
-2.748 3.286 1.762
Fe Li Se
1 1 2
Direct
0.500 0.500 0.000
0.500 0.000 0.500
0.000 0.000 0.000
0.000 0.500 0.500
```

***

[12]
Density functional theory data (PBE-GGA) for an optimized crystal structure of La5Dy4Th4.

Output
ΔH_f (0 K)   0.0385 eV per atom
Total magnetization   0.000 μB per atom
Density of states at the Fermi level   20.4 states/eV per cell
DFT total energy   -5.5557 eV/atom

POSCAR file:
```
La5Dy4Th4
1.0
-0.754 -1.191 4.888
8.475 -3.302 3.150
2.057 8.014 4.918
La Dy Th
5 4 4
Direct
0.699 0.838 0.763
0.301 0.162 0.237
0.000 0.000 0.000
0.537 0.763 0.162
0.463 0.237 0.838
0.763 0.392 0.082
0.237 0.608 0.918
0.845 0.918 0.392
0.155 0.082 0.608
0.927 0.460 0.686
0.613 0.314 0.460
0.073 0.540 0.314
0.387 0.686 0.540
```

***

[13]
Density functional theory data (PBE-GGA) for an optimized crystal structure of LiLaNi4.

Output
ΔH_f (0 K)   -0.2701 eV per atom
Total magnetization   0.000 μB per atom
Density of states at the Fermi level   4.7 states/eV per cell
DFT total energy   -5.2646 eV/atom

POSCAR file:
```
LiLaNi4
1.0
4.985 0.000 0.000
2.493 4.317 0.000
2.493 1.439 4.070
La Li Ni
1 1 4
Direct
0.750 0.750 0.750
0.000 0.000 0.000
0.374 0.374 0.374
0.374 0.878 0.374
0.374 0.374 0.878
0.878 0.374 0.374
```

***

[14]
Density functional theory data (PBE-GGA) for an optimized crystal structure of FeNiCl4.

Output
Total magnetization   1.000 μB per atom
Density of states at the Fermi level   16.1 states/eV per cell
DFT total energy   -4.2280 eV/atom

POSCAR file:
```
FeNiCl4
1.0
-3.424 -0.164 3.972
-1.476 -4.830 -1.472
16.306 -9.226 13.676
Fe Ni Cl
4 4 16
Direct
0.483 0.243 0.874
0.983 0.757 0.626
0.517 0.757 0.126
0.017 0.243 0.374
0.983 0.743 0.874
0.483 0.257 0.626
0.017 0.257 0.126
0.517 0.743 0.374
0.733 0.994 0.930
0.233 0.006 0.570
0.267 0.006 0.070
0.767 0.994 0.430
0.235 0.492 0.930
0.735 0.508 0.570
0.765 0.508 0.070
0.265 0.492 0.430
0.731 0.493 0.819
0.231 0.507 0.681
0.269 0.507 0.181
0.769 0.493 0.319
0.234 0.996 0.819
0.734 0.004 0.681
0.766 0.004 0.181
0.266 0.996 0.319
```

***

[15]
Density functional theory data (PBE-GGA) for an optimized crystal structure of PuAl4Si2.

Output
Polymorph energy (0 for the lowest one)   9 meV/atom
Total magnetization   0.804 μB per atom
Density of states at the Fermi level   10.4 states/eV per cell
DFT total energy   -5.9040 eV/atom

POSCAR file:
```
PuAl4Si2
1.0
-1.954 2.765 -2.137
1.931 -1.201 -3.321
-6.490 -4.391 0.253
Si Al Pu
2 4 1
Direct
0.500 0.576 0.152
0.500 0.424 0.848
0.500 0.817 0.634
0.000 0.685 0.369
0.500 0.183 0.366
0.000 0.315 0.631
0.000 0.000 0.000
```

***

[16]
Density functional theory data (PBE-GGA) for an optimized crystal structure of Pr6Dy5Ho.

Output
Polymorph energy (0 for the lowest one)   5 meV/atom
ΔH_f (0 K)   0.0164 eV per atom
Total magnetization   0.000 μB per atom
Density of states at the Fermi level   16.1 states/eV per cell
DFT total energy   -4.6724 eV/atom

POSCAR file:
```
Pr6Dy5Ho
1.0
-3.344 0.229 3.931
0.225 -10.110 0.786
7.438 5.458 2.614
Pr Ho Dy
6 1 5
Direct
0.833 0.583 0.667
0.833 0.083 0.667
0.500 0.750 0.000
0.500 0.250 0.000
0.167 0.917 0.333
0.167 0.417 0.333
0.000 0.000 0.000
0.667 0.167 0.333
0.333 0.333 0.667
0.000 0.500 0.000
0.667 0.667 0.333
0.333 0.833 0.667
```

***

[17]
Density functional theory data (PBE-GGA) for an optimized crystal structure of AcSm2Pt2.

Output
ΔH_f (0 K)   -0.9186 eV per atom
Total magnetization   0.000 μB per atom
Density of states at the Fermi level   7.5 states/eV per cell
DFT total energy   -6.0442 eV/atom

POSCAR file:
```
AcSm2Pt2
1.0
4.207 0.000 1.104
1.904 9.378 1.306
0.212 -0.378 7.758
Ac Sm Pt
2 4 4
Direct
0.648 0.958 0.745
0.352 0.042 0.255
0.985 0.678 0.351
0.266 0.613 0.855
0.015 0.322 0.649
0.734 0.387 0.145
0.324 0.804 0.547
0.396 0.291 0.918
0.676 0.196 0.453
0.604 0.709 0.082
```

***

[18]
Density functional theory data (PBE-GGA) for an optimized crystal structure of TbPuHg5.

Output
ΔH_f (0 K)   -0.1319 eV per atom
Total magnetization   0.848 μB per atom
Density of states at the Fermi level   17.7 states/eV per cell
DFT total energy   -3.0564 eV/atom

POSCAR file:
```
TbPuHg5
1.0
4.376 0.000 0.000
0.000 4.773 0.000
0.000 0.000 9.090
Tb Pu Hg
1 1 5
Direct
0.000 0.000 0.500
0.500 0.500 0.000
0.000 0.500 0.748
0.000 0.500 0.252
0.500 0.000 0.765
0.500 0.000 0.235
0.500 0.500 0.500
```

***

[19]
Density functional theory data (PBE-GGA) for an optimized crystal structure of SmTh2MnN5.

Output
Total magnetization   0.238 μB per atom
Density of states at the Fermi level   3.0 states/eV per cell
DFT total energy   -9.0233 eV/atom

POSCAR file:
```
SmTh2MnN5
1.0
6.747 0.000 0.000
0.000 6.747 0.000
-3.374 -3.374 5.640
Sm Th Mn N
2 4 2 10
Direct
0.250 0.250 0.500
0.750 0.750 0.500
0.175 0.325 0.000
0.675 0.175 0.000
0.325 0.825 0.000
0.825 0.675 0.000
0.250 0.750 0.500
0.750 0.250 0.500
0.002 0.502 0.289
0.713 0.213 0.711
0.998 0.498 0.711
0.213 0.998 0.711
0.498 0.713 0.711
0.787 0.002 0.289
0.502 0.287 0.289
0.287 0.787 0.289
0.500 0.500 0.000
0.000 0.000 0.000
```

***

[20]
Density functional theory data (PBE-GGA) for an optimized crystal structure of La2CrCuRe.

Output
ΔH_f (0 K)   0.7449 eV per atom
Total magnetization   1.017 μB per atom
Density of states at the Fermi level   4.1 states/eV per cell
DFT total energy   -6.4596 eV/atom

POSCAR file:
```
La2CrCuRe
1.0
-1.700 -0.606 -5.113
0.658 -4.797 0.349
-5.096 -0.571 1.762
Re Cr Cu La
1 1 1 2
Direct
0.000 0.000 0.000
0.500 0.500 0.500
0.000 0.500 0.000
0.000 0.000 0.500
0.500 0.000 0.000
```

***

[21]
Density functional theory data (PBE-GGA) for an optimized crystal structure of Cd2TcNi.

Output
Polymorph energy (0 for the lowest one)   176 meV/atom
ΔH_f (0 K)   0.3468 eV per atom
Total magnetization   0.060 μB per atom
Density of states at the Fermi level   4.0 states/eV per cell
DFT total energy   -4.1476 eV/atom

POSCAR file:
```
Cd2TcNi
1.0
2.801 0.000 0.000
0.000 2.801 0.000
0.000 0.000 8.282
Cd Ni Tc
2 1 1
Direct
0.000 0.000 0.020
0.000 0.000 0.480
0.500 0.500 0.250
0.500 0.500 0.750
```

***

[22]
Density functional theory data (PBE-GGA) for an optimized crystal structure of Hf5Ga4N.

Output
Total magnetization   0.000 μB per atom
Density of states at the Fermi level   6.1 states/eV per cell
DFT total energy   -7.5298 eV/atom

POSCAR file:
```
Hf5Ga4N
1.0
-3.342 -3.545 1.571
2.597 -5.862 0.636
-0.312 -0.560 6.411
Hf Ga N
5 4 1
Direct
0.871 0.355 0.905
0.226 0.905 0.645
0.776 0.095 0.355
0.131 0.645 0.095
0.501 0.000 0.000
0.445 0.411 0.702
0.855 0.702 0.589
0.147 0.298 0.411
0.557 0.589 0.298
0.001 0.000 0.000
```